No. 1
{
  "formula": "HoPuCu4",
  "functional": "GGA-PBE",
  "state": "relaxed",
  "cell": [[0.000, 3.706, 3.706], [3.706, 0.000, 3.706], [3.706, 3.706, 0.000]],
  "species": ["Ho", "Pu", "Cu", "Cu", "Cu", "Cu"],
  "frac_coords": [[0.000, 0.000, 0.000], [0.750, 0.750, 0.750], [0.375, 0.375, 0.375], [0.375, 0.375, 0.876], [0.375, 0.876, 0.375], [0.876, 0.375, 0.375]],
  "dos_at_fermi_per_ev_atom": 1.833,
  "space_group": "F-43m (216)",
  "ef_mev_per_atom": -72,
  "total_energy_ev_per_atom": -5.954
}

***

No. 2
{
  "formula": "HoPuCuRh",
  "functional": "GGA-PBE",
  "state": "relaxed",
  "cell": [[0.000, 3.447, 3.447], [3.447, 0.000, 3.447], [3.447, 3.447, 0.000]],
  "species": ["Ho", "Pu", "Cu", "Rh"],
  "frac_coords": [[0.000, 0.000, 0.000], [0.500, 0.500, 0.500], [0.250, 0.250, 0.250], [0.750, 0.750, 0.750]],
  "dos_at_fermi_per_ev_atom": 2.885,
  "space_group": "F-43m (216)",
  "ef_mev_per_atom": -340,
  "total_energy_ev_per_atom": -7.930
}

***

No. 3
{
  "formula": "Ho2PuCuS5",
  "functional": "GGA-PBE",
  "state": "relaxed",
  "cell": [[1.900, -8.800, 0.000], [1.900, 8.800, 0.000], [0.000, 0.000, 11.088]],
  "species": ["Ho", "Ho", "Ho", "Ho", "Pu", "Pu", "Cu", "Cu", "S", "S", "S", "S", "S", "S", "S", "S", "S", "S"],
  "frac_coords": [[0.095, 0.905, 0.500], [0.114, 0.886, 0.124], [0.886, 0.114, 0.624], [0.905, 0.095, 0.000], [0.200, 0.800, 0.825], [0.800, 0.200, 0.325], [0.438, 0.562, 0.270], [0.562, 0.438, 0.770], [0.048, 0.952, 0.880], [0.298, 0.702, 0.503], [0.327, 0.673, 0.153], [0.361, 0.639, 0.820], [0.496, 0.504, 0.596], [0.504, 0.496, 0.096], [0.639, 0.361, 0.320], [0.673, 0.327, 0.653], [0.702, 0.298, 0.003], [0.952, 0.048, 0.380]],
  "dos_at_fermi_per_ev_atom": 1.234,
  "space_group": "Cmc2_1 (36)",
  "raw_formation_energy_ev_per_atom": -1.563,
  "total_energy_ev_per_atom": -6.920
}

***

No. 4
{
  "formula": "HoPuCuS4",
  "functional": "GGA-PBE",
  "state": "relaxed",
  "cell": [[6.685, 0.000, 0.000], [0.000, 5.493, 0.000], [-2.242, 0.000, 7.467]],
  "species": ["Ho", "Ho", "Pu", "Pu", "Cu", "Cu", "S", "S", "S", "S", "S", "S", "S", "S"],
  "frac_coords": [[0.228, 0.250, 0.433], [0.772, 0.750, 0.567], [0.243, 0.250, 0.937], [0.757, 0.750, 0.063], [0.247, 0.750, 0.184], [0.753, 0.250, 0.816], [0.070, 0.750, 0.394], [0.071, 0.750, 0.890], [0.483, 0.513, 0.738], [0.483, 0.987, 0.738], [0.517, 0.013, 0.262], [0.517, 0.487, 0.262], [0.929, 0.250, 0.110], [0.930, 0.250, 0.606]],
  "dos_at_fermi_per_ev_atom": 1.520,
  "space_group": "P2_1/m (11)",
  "raw_formation_energy_ev_per_atom": -1.320,
  "total_energy_ev_per_atom": -6.965
}

***

No. 5
{
  "formula": "HoPuCu2Se4",
  "functional": "GGA-PBE",
  "state": "relaxed",
  "cell": [[-3.408, 3.468, 3.855], [3.408, -3.468, 3.855], [3.408, 3.468, -3.855]],
  "species": ["Ho", "Pu", "Cu", "Cu", "Se", "Se", "Se", "Se"],
  "frac_coords": [[0.000, 0.000, 0.000], [0.500, 0.500, 0.000], [0.167, 0.667, 0.500], [0.833, 0.333, 0.500], [0.024, 0.038, 0.473], [0.434, 0.962, 0.985], [0.566, 0.551, 0.527], [0.976, 0.449, 0.015]],
  "dos_at_fermi_per_ev_atom": 1.179,
  "space_group": "I222 (23)",
  "raw_formation_energy_ev_per_atom": -0.916,
  "total_energy_ev_per_atom": -6.046
}

***

No. 6
{
  "formula": "Ho2PuCuSe5",
  "functional": "GGA-PBE",
  "state": "relaxed",
  "cell": [[1.978, -9.289, 0.000], [1.978, 9.289, 0.000], [0.000, 0.000, 11.621]],
  "species": ["Ho", "Ho", "Ho", "Ho", "Pu", "Pu", "Cu", "Cu", "Se", "Se", "Se", "Se", "Se", "Se", "Se", "Se", "Se", "Se"],
  "frac_coords": [[0.095, 0.905, 0.500], [0.113, 0.887, 0.124], [0.887, 0.113, 0.624], [0.905, 0.095, 0.000], [0.197, 0.803, 0.826], [0.803, 0.197, 0.326], [0.432, 0.568, 0.271], [0.568, 0.432, 0.771], [0.047, 0.953, 0.881], [0.299, 0.701, 0.505], [0.325, 0.675, 0.149], [0.360, 0.640, 0.820], [0.497, 0.503, 0.598], [0.503, 0.497, 0.098], [0.640, 0.360, 0.320], [0.675, 0.325, 0.649], [0.701, 0.299, 0.005], [0.953, 0.047, 0.381]],
  "dos_at_fermi_per_ev_atom": 1.386,
  "space_group": "Cmc2_1 (36)",
  "raw_formation_energy_ev_per_atom": -1.380,
  "total_energy_ev_per_atom": -6.380
}

***

No. 7
{
  "formula": "HoPu2Cu2Si2",
  "functional": "GGA-PBE",
  "state": "relaxed",
  "cell": [[1.978, 1.142, 8.824], [-1.978, 1.142, 8.824], [0.000, -2.284, 8.824]],
  "species": ["Ho", "Pu", "Pu", "Cu", "Cu", "Si", "Si"],
  "frac_coords": [[0.000, 0.000, 0.000], [0.150, 0.150, 0.150], [0.850, 0.850, 0.850], [0.407, 0.407, 0.407], [0.593, 0.593, 0.593], [0.258, 0.258, 0.258], [0.742, 0.742, 0.742]],
  "dos_at_fermi_per_ev_atom": 1.360,
  "space_group": "R-3m (166)",
  "raw_formation_energy_ev_per_atom": -0.350,
  "total_energy_ev_per_atom": -7.818
}

***

No. 8
{
  "formula": "HoPuCuSn",
  "functional": "GGA-PBE",
  "state": "relaxed",
  "cell": [[0.000, 3.650, 3.650], [3.650, 0.000, 3.650], [3.650, 3.650, 0.000]],
  "species": ["Ho", "Pu", "Cu", "Sn"],
  "frac_coords": [[0.000, 0.000, 0.000], [0.500, 0.500, 0.500], [0.250, 0.250, 0.250], [0.750, 0.750, 0.750]],
  "dos_at_fermi_per_ev_atom": 2.004,
  "space_group": "F-43m (216)",
  "ef_mev_per_atom": -246,
  "total_energy_ev_per_atom": -6.998
}

***

No. 9
{
  "formula": "HoPu2CuTe5",
  "functional": "GGA-PBE",
  "state": "relaxed",
  "cell": [[2.133, -9.442, 0.000], [2.133, 9.442, 0.000], [0.000, 0.000, 12.909]],
  "species": ["Ho", "Ho", "Pu", "Pu", "Pu", "Pu", "Cu", "Cu", "Te", "Te", "Te", "Te", "Te", "Te", "Te", "Te", "Te", "Te"],
  "frac_coords": [[0.193, 0.807, 0.500], [0.807, 0.193, 0.000], [0.111, 0.889, 0.173], [0.122, 0.878, 0.799], [0.878, 0.122, 0.299], [0.889, 0.111, 0.673], [0.429, 0.571, 0.945], [0.571, 0.429, 0.445], [0.040, 0.960, 0.553], [0.290, 0.710, 0.165], [0.312, 0.688, 0.832], [0.356, 0.644, 0.491], [0.500, 0.500, 0.271], [0.500, 0.500, 0.771], [0.644, 0.356, 0.991], [0.688, 0.312, 0.332], [0.710, 0.290, 0.665], [0.960, 0.040, 0.053]],
  "dos_at_fermi_per_ev_atom": 2.946,
  "space_group": "Cmc2_1 (36)",
  "raw_formation_energy_ev_per_atom": -0.925,
  "total_energy_ev_per_atom": -6.819
}

***

No. 10
{
  "formula": "HoPuZnCu",
  "functional": "GGA-PBE",
  "state": "relaxed",
  "cell": [[0.000, 3.519, 3.519], [3.519, 0.000, 3.519], [3.519, 3.519, 0.000]],
  "species": ["Ho", "Pu", "Zn", "Cu"],
  "frac_coords": [[0.000, 0.000, 0.000], [0.500, 0.500, 0.500], [0.750, 0.750, 0.750], [0.250, 0.250, 0.250]],
  "dos_at_fermi_per_ev_atom": 2.410,
  "space_group": "F-43m (216)",
  "ef_mev_per_atom": -85,
  "total_energy_ev_per_atom": -6.155
}

***

No. 11
{
  "formula": "RbHoCuS2",
  "functional": "GGA-PBE",
  "state": "relaxed",
  "cell": [[7.702, 0.000, 0.000], [0.000, 4.644, 0.000], [-1.308, 0.000, 7.725]],
  "species": ["Rb", "Rb", "Ho", "Ho", "Cu", "Cu", "S", "S", "S", "S"],
  "frac_coords": [[0.000, 0.167, 0.250], [0.000, 0.833, 0.750], [0.500, 0.494, 0.750], [0.500, 0.506, 0.250], [0.500, 0.000, 0.000], [0.500, 0.000, 0.500], [0.281, 0.324, 0.966], [0.281, 0.676, 0.466], [0.719, 0.324, 0.534], [0.719, 0.676, 0.034]],
  "dos_at_fermi_per_ev_atom": 0.595,
  "space_group": "P2/c (13)",
  "raw_formation_energy_ev_per_atom": -1.095,
  "total_energy_ev_per_atom": -4.674
}

***

No. 12
{
  "formula": "RbHoCuS3",
  "functional": "GGA-PBE",
  "state": "relaxed",
  "cell": [[8.999, 0.000, 0.000], [0.000, 3.964, 0.000], [-3.132, 0.000, 8.953]],
  "species": ["Rb", "Rb", "Ho", "Ho", "Cu", "Cu", "S", "S", "S", "S", "S", "S"],
  "frac_coords": [[0.205, 0.250, 0.238], [0.795, 0.750, 0.762], [0.330, 0.750, 0.858], [0.670, 0.250, 0.142], [0.083, 0.250, 0.608], [0.917, 0.750, 0.392], [0.123, 0.250, 0.859], [0.179, 0.750, 0.544], [0.468, 0.750, 0.158], [0.532, 0.250, 0.842], [0.821, 0.250, 0.456], [0.877, 0.750, 0.141]],
  "dos_at_fermi_per_ev_atom": 0.700,
  "space_group": "P2_1/m (11)",
  "raw_formation_energy_ev_per_atom": -1.268,
  "total_energy_ev_per_atom": -4.938
}

***

No. 13
{
  "formula": "RbHoCuSe2",
  "functional": "GGA-PBE",
  "state": "relaxed",
  "cell": [[8.087, 0.000, 0.000], [0.000, 4.581, 0.000], [-1.085, 0.000, 8.111]],
  "species": ["Rb", "Rb", "Ho", "Ho", "Cu", "Cu", "Se", "Se", "Se", "Se"],
  "frac_coords": [[0.000, 0.144, 0.250], [0.000, 0.856, 0.750], [0.500, 0.494, 0.750], [0.500, 0.506, 0.250], [0.500, 0.000, 0.000], [0.500, 0.000, 0.500], [0.274, 0.343, 0.972], [0.274, 0.657, 0.472], [0.726, 0.343, 0.528], [0.726, 0.657, 0.028]],
  "dos_at_fermi_per_ev_atom": 0.402,
  "space_group": "P2/c (13)",
  "raw_formation_energy_ev_per_atom": -1.009,
  "total_energy_ev_per_atom": -4.331
}

***

No. 14
{
  "formula": "RbHoCuTe2",
  "functional": "GGA-PBE",
  "state": "relaxed",
  "cell": [[8.712, 0.000, 0.000], [0.000, 4.488, 0.000], [-0.774, 0.000, 8.766]],
  "species": ["Rb", "Rb", "Ho", "Ho", "Cu", "Cu", "Te", "Te", "Te", "Te"],
  "frac_coords": [[0.000, 0.115, 0.250], [0.000, 0.885, 0.750], [0.500, 0.496, 0.750], [0.500, 0.504, 0.250], [0.500, 0.000, 0.000], [0.500, 0.000, 0.500], [0.270, 0.361, 0.981], [0.270, 0.639, 0.481], [0.730, 0.361, 0.519], [0.730, 0.639, 0.019]],
  "dos_at_fermi_per_ev_atom": 0.452,
  "space_group": "P2/c (13)",
  "raw_formation_energy_ev_per_atom": -0.749,
  "total_energy_ev_per_atom": -3.934
}

***

No. 15
{
  "formula": "RbHo2CuTe4",
  "functional": "GGA-PBE",
  "state": "relaxed",
  "cell": [[2.197, -7.635, 0.000], [2.197, 7.635, 0.000], [0.000, 0.000, 15.466]],
  "species": ["Rb", "Rb", "Ho", "Ho", "Ho", "Ho", "Cu", "Cu", "Te", "Te", "Te", "Te", "Te", "Te", "Te", "Te"],
  "frac_coords": [[0.113, 0.887, 0.750], [0.887, 0.113, 0.250], [0.366, 0.634, 0.565], [0.366, 0.634, 0.935], [0.634, 0.366, 0.065], [0.634, 0.366, 0.435], [0.162, 0.838, 0.250], [0.838, 0.162, 0.750], [0.000, 0.000, 0.000], [0.000, 0.000, 0.500], [0.264, 0.736, 0.110], [0.264, 0.736, 0.390], [0.432, 0.568, 0.750], [0.568, 0.432, 0.250], [0.736, 0.264, 0.610], [0.736, 0.264, 0.890]],
  "space_group": "Cmcm (63)",
  "raw_formation_energy_ev_per_atom": -1.125,
  "total_energy_ev_per_atom": -4.474
}

***

No. 16
{
  "formula": "Ho2CuRe",
  "functional": "GGA-PBE",
  "state": "relaxed",
  "cell": [[1.519, 0.877, 10.340], [-1.519, 0.877, 10.340], [0.000, -1.754, 10.340]],
  "species": ["Ho", "Ho", "Cu", "Re"],
  "frac_coords": [[0.090, 0.090, 0.090], [0.910, 0.910, 0.910], [0.500, 0.500, 0.500], [0.000, 0.000, 0.000]],
  "dos_at_fermi_per_ev_atom": 1.013,
  "space_group": "R-3m (166)",
  "ef_mev_per_atom": 738,
  "total_energy_ev_per_atom": -5.687
}

***

No. 17
{
  "formula": "HoThCuRe",
  "functional": "GGA-PBE",
  "state": "relaxed",
  "cell": [[0.000, 3.507, 3.507], [3.507, 0.000, 3.507], [3.507, 3.507, 0.000]],
  "species": ["Ho", "Th", "Cu", "Re"],
  "frac_coords": [[0.000, 0.000, 0.000], [0.500, 0.500, 0.500], [0.250, 0.250, 0.250], [0.750, 0.750, 0.750]],
  "dos_at_fermi_per_ev_atom": 0.498,
  "space_group": "F-43m (216)",
  "ef_mev_per_atom": -40,
  "total_energy_ev_per_atom": -7.176
}

***

No. 18
{
  "formula": "HoZrCuRe",
  "functional": "GGA-PBE",
  "state": "relaxed",
  "cell": [[0.000, 3.357, 3.357], [3.357, 0.000, 3.357], [3.357, 3.357, 0.000]],
  "species": ["Ho", "Zr", "Cu", "Re"],
  "frac_coords": [[0.000, 0.000, 0.000], [0.500, 0.500, 0.500], [0.250, 0.250, 0.250], [0.750, 0.750, 0.750]],
  "dos_at_fermi_per_ev_atom": 0.685,
  "space_group": "F-43m (216)",
  "ef_mev_per_atom": -95,
  "total_energy_ev_per_atom": -7.513
}

***

No. 19
{
  "formula": "Ho2CuRh2",
  "functional": "GGA-PBE",
  "state": "relaxed",
  "cell": [[4.986, -2.664, 0.000], [4.986, 2.664, 0.000], [-2.177, 0.000, 7.256]],
  "species": ["Ho", "Ho", "Ho", "Ho", "Cu", "Cu", "Rh", "Rh", "Rh", "Rh"],
  "frac_coords": [[0.004, 0.291, 0.151], [0.291, 0.004, 0.651], [0.709, 0.996, 0.349], [0.996, 0.709, 0.849], [0.319, 0.681, 0.250], [0.681, 0.319, 0.750], [0.234, 0.508, 0.496], [0.492, 0.766, 0.004], [0.508, 0.234, 0.996], [0.766, 0.492, 0.504]],
  "dos_at_fermi_per_ev_atom": 0.425,
  "space_group": "C2/c (15)",
  "ef_mev_per_atom": -679,
  "total_energy_ev_per_atom": -6.270,
  "de_polymorph_mev_per_atom": 24
}

***

No. 20
{
  "formula": "Ho4Cu3Rh",
  "functional": "GGA-PBE",
  "state": "relaxed",
  "cell": [[3.715, 0.000, 0.000], [0.000, 4.407, 0.000], [0.000, 0.000, 10.374]],
  "species": ["Ho", "Ho", "Ho", "Ho", "Cu", "Cu", "Cu", "Rh"],
  "frac_coords": [[0.000, 0.000, 0.000], [0.000, 0.500, 0.273], [0.500, 0.000, 0.490], [0.500, 0.500, 0.776], [0.000, 0.000, 0.707], [0.000, 0.500, 0.564], [0.500, 0.500, 0.057], [0.500, 0.000, 0.217]],
  "dos_at_fermi_per_ev_atom": 0.708,
  "space_group": "Pmm2 (25)",
  "ef_mev_per_atom": -446,
  "total_energy_ev_per_atom": -5.189
}